Entry 1:
# ZnSn2BiBr, relaxed, DFT PBE
data_ZnSn2BiBr
_space_group_name_H-M_alt 'P 1'
_space_group_IT_number 1
_cell_length_a 5.6479
_cell_length_b 5.6989
_cell_length_c 5.6479
_cell_angle_alpha 90.00
_cell_angle_beta 90.00
_cell_angle_gamma 90.00
loop_
_space_group_symop_operation_xyz
'x,y,z'
loop_
_atom_site_label
_atom_site_fract_x
_atom_site_fract_y
_atom_site_fract_z
Zn1 0.5000 0.5000 0.5000
Bi1 0.0000 0.5000 0.0000
Br1 0.0000 0.0000 0.0000
Sn1 0.0000 0.0000 0.5000
Sn2 0.5000 0.0000 0.0000
# Symmetry: No. 123
# DOS at the Fermi energy (states/eV/cell): 4.87

Entry 2:
# Zr2SnBiBr, relaxed, DFT PBE
data_Zr2SnBiBr
_space_group_name_H-M_alt 'P 1'
_space_group_IT_number 1
_cell_length_a 5.0444
_cell_length_b 5.6493
_cell_length_c 5.0444
_cell_angle_alpha 90.00
_cell_angle_beta 90.00
_cell_angle_gamma 90.00
loop_
_space_group_symop_operation_xyz
'x,y,z'
loop_
_atom_site_label
_atom_site_fract_x
_atom_site_fract_y
_atom_site_fract_z
Br1 0.0000 0.0000 0.0000
Bi1 0.5000 0.5000 0.5000
Zr1 0.0000 0.0000 0.5000
Zr2 0.5000 0.0000 0.0000
Sn1 0.0000 0.5000 0.0000
# Symmetry: No. 123
# DOS at the Fermi energy (states/eV/cell): 5.82

Entry 3:
# SrBiBr3, relaxed, DFT PBE
data_SrBiBr3
_space_group_name_H-M_alt 'P 1'
_space_group_IT_number 1
_cell_length_a 5.9292
_cell_length_b 5.9292
_cell_length_c 5.9292
_cell_angle_alpha 90.00
_cell_angle_beta 90.00
_cell_angle_gamma 90.00
loop_
_space_group_symop_operation_xyz
'x,y,z'
loop_
_atom_site_label
_atom_site_fract_x
_atom_site_fract_y
_atom_site_fract_z
Sr1 0.0000 0.0000 0.0000
Bi1 0.5000 0.5000 0.5000
Br1 0.0000 0.5000 0.0000
Br2 0.0000 0.0000 0.5000
Br3 0.5000 0.0000 0.0000
# Symmetry: No. 221
# E above lowest polymorph (eV per atom): 0.000
# DOS at the Fermi energy (states/eV/cell): 7.30

Entry 4:
# Sr5Bi3Br, relaxed, DFT PBE
data_Sr5Bi3Br
_space_group_name_H-M_alt 'P 1'
_space_group_IT_number 1
_cell_length_a 9.2337
_cell_length_b 9.2337
_cell_length_c 10.5197
_cell_angle_alpha 116.03
_cell_angle_beta 116.03
_cell_angle_gamma 90.00
loop_
_space_group_symop_operation_xyz
'x,y,z'
loop_
_atom_site_label
_atom_site_fract_x
_atom_site_fract_y
_atom_site_fract_z
Sr1 0.5000 0.5000 0.0000
Sr2 0.0000 0.0000 0.0000
Sr3 0.2006 0.0376 0.7381
Sr4 0.5376 0.7006 0.7381
Sr5 0.7006 0.2006 0.7381
Sr6 0.0376 0.5376 0.7381
Sr7 0.7994 0.9624 0.2619
Sr8 0.4624 0.2994 0.2619
Sr9 0.2994 0.7994 0.2619
Sr10 0.9624 0.4624 0.2619
Bi1 0.2500 0.2500 0.5000
Bi2 0.7500 0.7500 0.5000
Bi3 0.1442 0.3558 0.0000
Bi4 0.8558 0.6442 0.0000
Bi5 0.6442 0.1442 0.0000
Bi6 0.3558 0.8558 0.0000
Br1 0.2500 0.7500 0.5000
Br2 0.7500 0.2500 0.5000
# Symmetry: No. 140
# DOS at the Fermi energy (states/eV/cell): 0.71

Entry 5:
# Sr4Bi2Br3, relaxed, DFT PBE
data_Sr4Bi2Br3
_space_group_name_H-M_alt 'P 1'
_space_group_IT_number 1
_cell_length_a 4.6878
_cell_length_b 4.6878
_cell_length_c 19.0992
_cell_angle_alpha 90.04
_cell_angle_beta 89.96
_cell_angle_gamma 120.05
loop_
_space_group_symop_operation_xyz
'x,y,z'
loop_
_atom_site_label
_atom_site_fract_x
_atom_site_fract_y
_atom_site_fract_z
Sr1 0.3337 0.6663 0.8893
Sr2 0.9997 0.0003 0.3225
Sr3 0.0003 0.9997 0.6775
Sr4 0.6663 0.3337 0.1107
Bi1 0.6670 0.3330 0.7909
Bi2 0.3330 0.6670 0.2091
Br1 0.6663 0.3337 0.4007
Br2 0.0000 0.0000 0.0000
Br3 0.3337 0.6663 0.5993
# Symmetry: No. 12
# DOS at the Fermi energy (states/eV/cell): 4.51

Entry 6:
# SrBiBr3, relaxed, DFT PBE
data_SrBiBr3
_space_group_name_H-M_alt 'P 1'
_space_group_IT_number 1
_cell_length_a 5.9249
_cell_length_b 5.9249
_cell_length_c 5.9249
_cell_angle_alpha 90.00
_cell_angle_beta 90.00
_cell_angle_gamma 90.00
loop_
_space_group_symop_operation_xyz
'x,y,z'
loop_
_atom_site_label
_atom_site_fract_x
_atom_site_fract_y
_atom_site_fract_z
Sr1 0.5000 0.5000 0.5000
Bi1 0.0000 0.0000 0.0000
Br1 0.0000 0.5000 0.0000
Br2 0.0000 0.0000 0.5000
Br3 0.5000 0.0000 0.0000
# Symmetry: No. 221
# E above lowest polymorph (eV per atom): 0.221
# DOS at the Fermi energy (states/eV/cell): 3.92

Entry 7:
# Sr2Bi2Br, relaxed, DFT PBE
data_Sr2Bi2Br
_space_group_name_H-M_alt 'P 1'
_space_group_IT_number 1
_cell_length_a 8.4883
_cell_length_b 8.4883
_cell_length_c 5.1104
_cell_angle_alpha 90.00
_cell_angle_beta 90.00
_cell_angle_gamma 90.00
loop_
_space_group_symop_operation_xyz
'x,y,z'
loop_
_atom_site_label
_atom_site_fract_x
_atom_site_fract_y
_atom_site_fract_z
Sr1 0.3271 0.8271 0.0000
Sr2 0.8271 0.6729 0.0000
Sr3 0.6729 0.1729 0.0000
Sr4 0.1729 0.3271 0.0000
Bi1 0.1244 0.6244 0.5000
Bi2 0.6244 0.8756 0.5000
Bi3 0.8756 0.3756 0.5000
Bi4 0.3756 0.1244 0.5000
Br1 0.0000 0.0000 0.0000
Br2 0.5000 0.5000 0.0000
# Symmetry: No. 127
# DOS at the Fermi energy (states/eV/cell): 5.78

Entry 8:
# Sr4BiBr5, relaxed, DFT PBE
data_Sr4BiBr5
_space_group_name_H-M_alt 'P 1'
_space_group_IT_number 1
_cell_length_a 4.6866
_cell_length_b 9.1354
_cell_length_c 10.1848
_cell_angle_alpha 106.70
_cell_angle_beta 103.30
_cell_angle_gamma 90.00
loop_
_space_group_symop_operation_xyz
'x,y,z'
loop_
_atom_site_label
_atom_site_fract_x
_atom_site_fract_y
_atom_site_fract_z
Sr1 0.3273 0.8738 0.6545
Sr2 0.9979 0.7481 0.9959
Sr3 0.6727 0.1262 0.3455
Sr4 0.0021 0.2519 0.0041
Bi1 0.5000 0.0000 0.0000
Br1 0.8315 0.6573 0.6630
Br2 0.8307 0.1182 0.6614
Br3 0.1693 0.8818 0.3386
Br4 0.5000 0.5000 0.0000
Br5 0.1685 0.3427 0.3370
# Symmetry: No. 12

Entry 9:
# Sr8Bi5Br, relaxed, DFT PBE
data_Sr8Bi5Br
_space_group_name_H-M_alt 'P 1'
_space_group_IT_number 1
_cell_length_a 8.8351
_cell_length_b 8.8351
_cell_length_c 8.8351
_cell_angle_alpha 109.79
_cell_angle_beta 108.83
_cell_angle_gamma 109.79
loop_
_space_group_symop_operation_xyz
'x,y,z'
loop_
_atom_site_label
_atom_site_fract_x
_atom_site_fract_y
_atom_site_fract_z
Sr1 0.1323 0.7551 0.0244
Sr2 0.9756 0.1079 0.7307
Sr3 0.7435 0.2387 0.3523
Sr4 0.6477 0.3912 0.8863
Sr5 0.4952 0.6088 0.2565
Sr6 0.6227 0.8921 0.8677
Sr7 0.2693 0.2449 0.3773
Sr8 0.1137 0.7613 0.5048
Bi1 0.0155 0.3804 0.1345
Bi2 0.8655 0.8811 0.2459
Bi3 0.7541 0.6196 0.6352
Bi4 0.5000 0.0000 0.5000
Bi5 0.3648 0.1189 0.9845
Br1 0.2500 0.5000 0.7500
# Symmetry: No. 82
# DOS at the Fermi energy (states/eV/cell): 0.01

Entry 10:
# SrBiBr2, relaxed, DFT PBE
data_SrBiBr2
_space_group_name_H-M_alt 'P 1'
_space_group_IT_number 1
_cell_length_a 5.6059
_cell_length_b 5.6059
_cell_length_c 5.6059
_cell_angle_alpha 60.00
_cell_angle_beta 60.00
_cell_angle_gamma 60.00
loop_
_space_group_symop_operation_xyz
'x,y,z'
loop_
_atom_site_label
_atom_site_fract_x
_atom_site_fract_y
_atom_site_fract_z
Sr1 0.0000 0.0000 0.0000
Bi1 0.5000 0.5000 0.5000
Br1 0.2500 0.2500 0.2500
Br2 0.7500 0.7500 0.7500
# Symmetry: No. 225
# E above lowest polymorph (eV per atom): 0.302
# DOS at the Fermi energy (states/eV/cell): 4.34

Entry 11:
# SrBiBr5, relaxed, DFT PBE
data_SrBiBr5
_space_group_name_H-M_alt 'P 1'
_space_group_IT_number 1
_cell_length_a 4.3641
_cell_length_b 8.4302
_cell_length_c 14.2036
_cell_angle_alpha 93.78
_cell_angle_beta 90.00
_cell_angle_gamma 90.00
loop_
_space_group_symop_operation_xyz
'x,y,z'
loop_
_atom_site_label
_atom_site_fract_x
_atom_site_fract_y
_atom_site_fract_z
Sr1 0.7500 0.0804 0.1430
Sr2 0.2500 0.9196 0.8570
Bi1 0.2500 0.4223 0.3508
Bi2 0.7500 0.5777 0.6492
Br1 0.2500 0.0733 0.3141
Br2 0.7500 0.1505 0.9310
Br3 0.7500 0.3152 0.4801
Br4 0.2500 0.3608 0.1459
Br5 0.2500 0.3693 0.6994
Br6 0.7500 0.6307 0.3006
Br7 0.7500 0.6392 0.8541
Br8 0.2500 0.6848 0.5199
Br9 0.2500 0.8495 0.0690
Br10 0.7500 0.9267 0.6859
# Symmetry: No. 11
# DOS at the Fermi energy (states/eV/cell): 0.00

Entry 12:
# SrBiBr2, relaxed, DFT PBE
data_SrBiBr2
_space_group_name_H-M_alt 'P 1'
_space_group_IT_number 1
_cell_length_a 8.6913
_cell_length_b 8.6913
_cell_length_c 7.1675
_cell_angle_alpha 52.68
_cell_angle_beta 52.68
_cell_angle_gamma 90.00
loop_
_space_group_symop_operation_xyz
'x,y,z'
loop_
_atom_site_label
_atom_site_fract_x
_atom_site_fract_y
_atom_site_fract_z
Sr1 0.5000 0.5000 0.0000
Sr2 0.2500 0.7500 0.5000
Bi1 0.0000 0.0000 0.0000
Bi2 0.7500 0.2500 0.5000
Br1 0.6047 0.1250 0.2500
Br2 0.1453 0.6250 0.2500
Br3 0.3750 0.3953 0.7500
Br4 0.8750 0.8547 0.7500
# Symmetry: No. 122
# E above lowest polymorph (eV per atom): 0.203
# DOS at the Fermi energy (states/eV/cell): 7.49

Entry 13:
# SrBiBr2, relaxed, DFT PBE
data_SrBiBr2
_space_group_name_H-M_alt 'P 1'
_space_group_IT_number 1
_cell_length_a 12.4459
_cell_length_b 12.4459
_cell_length_c 12.4459
_cell_angle_alpha 18.77
_cell_angle_beta 18.77
_cell_angle_gamma 18.77
loop_
_space_group_symop_operation_xyz
'x,y,z'
loop_
_atom_site_label
_atom_site_fract_x
_atom_site_fract_y
_atom_site_fract_z
Sr1 0.5000 0.5000 0.5000
Bi1 0.0000 0.0000 0.0000
Br1 0.8840 0.8840 0.8840
Br2 0.1160 0.1160 0.1160
# Symmetry: No. 166
# E above lowest polymorph (eV per atom): 0.000
# DOS at the Fermi energy (states/eV/cell): 3.15

Entry 14:
# Sr6BiBr8, relaxed, DFT PBE
data_Sr6BiBr8
_space_group_name_H-M_alt 'P 1'
_space_group_IT_number 1
_cell_length_a 8.1757
_cell_length_b 8.1757
_cell_length_c 11.1643
_cell_angle_alpha 68.52
_cell_angle_beta 68.52
_cell_angle_gamma 60.00
loop_
_space_group_symop_operation_xyz
'x,y,z'
loop_
_atom_site_label
_atom_site_fract_x
_atom_site_fract_y
_atom_site_fract_z
Sr1 0.9344 0.6143 0.1948
Sr2 0.7435 0.0656 0.8052
Sr3 0.3857 0.7435 0.8052
Sr4 0.6143 0.2565 0.1948
Sr5 0.2565 0.9344 0.1948
Sr6 0.0656 0.3857 0.8052
Bi1 0.0000 0.0000 0.0000
Br1 0.7676 0.4589 0.6619
Br2 0.8884 0.2324 0.3381
Br3 0.5411 0.8884 0.3381
Br4 0.3335 0.3335 0.9994
Br5 0.6665 0.6665 0.0006
Br6 0.4589 0.1116 0.6619
Br7 0.1116 0.7676 0.6619
Br8 0.2324 0.5411 0.3381
# Symmetry: No. 148
# DOS at the Fermi energy (states/eV/cell): 4.44

Entry 15:
# SrBi2Br, relaxed, DFT PBE
data_SrBi2Br
_space_group_name_H-M_alt 'P 1'
_space_group_IT_number 1
_cell_length_a 5.7528
_cell_length_b 5.7528
_cell_length_c 5.7528
_cell_angle_alpha 60.00
_cell_angle_beta 60.00
_cell_angle_gamma 60.00
loop_
_space_group_symop_operation_xyz
'x,y,z'
loop_
_atom_site_label
_atom_site_fract_x
_atom_site_fract_y
_atom_site_fract_z
Sr1 0.5000 0.5000 0.5000
Bi1 0.2500 0.2500 0.2500
Bi2 0.7500 0.7500 0.7500
Br1 0.0000 0.0000 0.0000
# Symmetry: No. 225
# DOS at the Fermi energy (states/eV/cell): 5.58

Entry 16:
# Sr3BiBr, relaxed, DFT PBE
data_Sr3BiBr
_space_group_name_H-M_alt 'P 1'
_space_group_IT_number 1
_cell_length_a 5.8525
_cell_length_b 5.8525
_cell_length_c 5.8525
_cell_angle_alpha 90.00
_cell_angle_beta 90.00
_cell_angle_gamma 90.00
loop_
_space_group_symop_operation_xyz
'x,y,z'
loop_
_atom_site_label
_atom_site_fract_x
_atom_site_fract_y
_atom_site_fract_z
Sr1 0.0000 0.5000 0.0000
Sr2 0.0000 0.0000 0.5000
Sr3 0.5000 0.0000 0.0000
Bi1 0.5000 0.5000 0.5000
Br1 0.0000 0.0000 0.0000
# Symmetry: No. 221
# E above lowest polymorph (eV per atom): 0.000
# DOS at the Fermi energy (states/eV/cell): 5.49

Entry 17:
# Sr4BiTe2Br, relaxed, DFT PBE
data_Sr4BiTe2Br
_space_group_name_H-M_alt 'P 1'
_space_group_IT_number 1
_cell_length_a 6.6917
_cell_length_b 6.6917
_cell_length_c 8.2681
_cell_angle_alpha 113.88
_cell_angle_beta 113.88
_cell_angle_gamma 89.98
loop_
_space_group_symop_operation_xyz
'x,y,z'
loop_
_atom_site_label
_atom_site_fract_x
_atom_site_fract_y
_atom_site_fract_z
Sr1 0.9383 0.4376 0.0000
Sr2 0.4376 0.9383 0.0000
Sr3 0.1785 0.1785 0.4836
Sr4 0.6949 0.6949 0.5164
Bi1 0.9374 0.9374 0.0000
Te1 0.1866 0.6866 0.5000
Te2 0.6866 0.1866 0.5000
Br1 0.4375 0.4375 0.0000
# Symmetry: No. 42

Entry 18:
# Sr6BiTe3Br2, relaxed, DFT PBE
data_Sr6BiTe3Br2
_space_group_name_H-M_alt 'P 1'
_space_group_IT_number 1
_cell_length_a 8.1443
_cell_length_b 8.1443
_cell_length_c 8.1645
_cell_angle_alpha 99.49
_cell_angle_beta 99.49
_cell_angle_gamma 119.94
loop_
_space_group_symop_operation_xyz
'x,y,z'
loop_
_atom_site_label
_atom_site_fract_x
_atom_site_fract_y
_atom_site_fract_z
Sr1 0.9151 0.5895 0.7464
Sr2 0.7611 0.7611 0.2578
Sr3 0.0849 0.4105 0.2536
Sr4 0.5895 0.9151 0.7464
Sr5 0.2389 0.2389 0.7422
Sr6 0.4105 0.0849 0.2536
Bi1 0.0000 0.0000 0.0000
Te1 0.1712 0.8288 0.5000
Te2 0.8288 0.1712 0.5000
Te3 0.5000 0.5000 0.5000
Br1 0.3348 0.6652 0.0000
Br2 0.6652 0.3348 0.0000
# Symmetry: No. 12
# DOS at the Fermi energy (states/eV/cell): 4.03

Entry 19:
# Sr2TiBiBr, relaxed, DFT PBE
data_Sr2TiBiBr
_space_group_name_H-M_alt 'P 1'
_space_group_IT_number 1
_cell_length_a 6.4420
_cell_length_b 5.9382
_cell_length_c 6.4420
_cell_angle_alpha 90.00
_cell_angle_beta 90.00
_cell_angle_gamma 90.00
loop_
_space_group_symop_operation_xyz
'x,y,z'
loop_
_atom_site_label
_atom_site_fract_x
_atom_site_fract_y
_atom_site_fract_z
Sr1 0.0000 0.0000 0.5000
Sr2 0.5000 0.0000 0.0000
Bi1 0.0000 0.0000 0.0000
Br1 0.0000 0.5000 0.0000
Ti1 0.5000 0.5000 0.5000
# Symmetry: No. 123
# DOS at the Fermi energy (states/eV/cell): 3.38

Entry 20:
# SrTlBiBr6, relaxed, DFT PBE
data_SrTlBiBr6
_space_group_name_H-M_alt 'P 1'
_space_group_IT_number 1
_cell_length_a 7.7378
_cell_length_b 7.7378
_cell_length_c 14.3185
_cell_angle_alpha 90.00
_cell_angle_beta 90.00
_cell_angle_gamma 120.00
loop_
_space_group_symop_operation_xyz
'x,y,z'
loop_
_atom_site_label
_atom_site_fract_x
_atom_site_fract_y
_atom_site_fract_z
Sr1 0.3333 0.6667 0.2500
Sr2 0.6667 0.3333 0.7500
Tl1 0.0000 0.0000 0.0000
Tl2 0.0000 0.0000 0.5000
Bi1 0.6667 0.3333 0.2500
Bi2 0.3333 0.6667 0.7500
Br1 0.6460 0.6281 0.1330
Br2 0.9822 0.3540 0.1330
Br3 0.3540 0.9822 0.6330
Br4 0.0178 0.6460 0.8670
Br5 0.3719 0.3540 0.3670
Br6 0.9822 0.6281 0.3670
Br7 0.6281 0.9822 0.8670
Br8 0.6460 0.0178 0.3670
Br9 0.0178 0.3719 0.6330
Br10 0.3719 0.0178 0.1330
Br11 0.6281 0.6460 0.6330
Br12 0.3540 0.3719 0.8670
# Symmetry: No. 163
# DOS at the Fermi energy (states/eV/cell): 0.00

Raw formation energy list, top to bottom, in kJ/mol of formula units: 372 247 -427 -909 -1232 -320 -485 -1754 -1419 -304 -862 -342 -421 -2593 -68 -294 -1208 -1816 169 -1076
V list, top to bottom, in Å³/cell: 181.8 143.8 208.4 703.3 363.3 208.0 368.2 405.4 530.9 124.6 521.4 278.6 174.4 585.7 134.6 200.5 303.6 443.1 246.4 742.4